## Ac3Pm2YS6 (PBE)

Data for an optimized crystal structure of Ac3Pm2YS6.

Computed properties:
For the formation energy from raw total energies, the calculation gives -2323 kJ/mol of formula units. The value obtained for the total magnetization is 0.00 μB/f.u. The volume is 303.0 Å³ per cell.

Cell and atoms, written as POSCAR:
```
Ac3Pm2YS6
1.0
-1.751 5.331 -4.416
-5.101 -4.066 2.906
1.914 3.875 5.849
Ac Pm Y S
3 2 1 6
direct
0.169 0.831 0.500
0.831 0.169 0.500
0.500 0.500 0.500
0.333 0.667 0.000
0.667 0.333 0.000
0.000 0.000 0.000
0.925 0.598 0.773
0.750 0.750 0.229
0.075 0.402 0.227
0.598 0.925 0.773
0.250 0.250 0.771
0.402 0.075 0.227
```